Here is a relaxed NiAg4 crystal from Alexandria via LeMat-Bulk. Energies are from PBE-GGA.

Properties
- space group = Pm-3m (221)
- D(E_F) (states/eV/f.u.) = 5.3
- energy above the most stable polymorph in this dataset (meV/atom) = 592.2
- total DFT energy (no corrections) (eV/atom) = -2.68

a b c (Å): 4.7746 4.7746 4.7746
angles (deg): 90.00 90.00 90.00
Atoms (fractional coordinates):
Ni  0.0000  0.0000  0.0000
Ag  0.0000  0.0000  0.5000
Ag  0.0000  0.5000  0.0000
Ag  0.5000  0.0000  0.0000
Ag  0.5000  0.5000  0.5000